Entry 1:
# InIN2O (PBE, optimized geometry)
# Formation energy (no corrections)   1230 meV/atom
data_InIN2O
_symmetry_space_group_name_H-M 'P 4/m m m'
_symmetry_Int_Tables_number 123
_symmetry_space_group_name_Hall '-P 4 2'
_cell_length_a 4.185
_cell_length_b 4.185
_cell_length_c 4.017
_cell_angle_alpha 90.00
_cell_angle_beta 90.00
_cell_angle_gamma 90.00
loop_
_atom_site_label
_atom_site_type_symbol
_atom_site_fract_x
_atom_site_fract_y
_atom_site_fract_z
In1 In 0.000 0.000 0.000
I1 I 0.500 0.500 0.500
N1 N 0.000 0.500 0.500
O1 O 0.500 0.500 0.000

Entry 2:
# Rb2MgGaF6 (PBE, optimized geometry)
# Formation energy (no corrections)   -2775 meV/atom
data_Rb2MgGaF6
_symmetry_space_group_name_H-M 'F m -3 m'
_symmetry_Int_Tables_number 225
_symmetry_space_group_name_Hall '-F 4 2 3'
_cell_length_a 8.489
_cell_length_b 8.489
_cell_length_c 8.489
_cell_angle_alpha 90.00
_cell_angle_beta 90.00
_cell_angle_gamma 90.00
loop_
_atom_site_label
_atom_site_type_symbol
_atom_site_fract_x
_atom_site_fract_y
_atom_site_fract_z
Rb1 Rb 0.250 0.250 0.250
Mg1 Mg 0.000 0.000 0.000
Ga1 Ga 0.000 0.000 0.500
F1 F 0.000 0.000 0.242

Entry 3:
# K2LiPbCl5 (PBE, optimized geometry)
# Formation energy (no corrections)   -1666 meV/atom
data_K2LiPbCl5
_symmetry_space_group_name_H-M 'C m c 21'
_symmetry_Int_Tables_number 36
_cell_length_a 4.305
_cell_length_b 17.856
_cell_length_c 13.942
_cell_angle_alpha 90.00
_cell_angle_beta 90.00
_cell_angle_gamma 90.00
loop_
_symmetry_equiv_pos_as_xyz
'x,y,z'
'-x,-y,z+1/2'
'-x,y,z'
'x,-y,z+1/2'
'x+1/2,y+1/2,z'
'-x+1/2,-y+1/2,z+1/2'
'-x+1/2,y+1/2,z'
'x+1/2,-y+1/2,z+1/2'
loop_
_atom_site_label
_atom_site_type_symbol
_atom_site_fract_x
_atom_site_fract_y
_atom_site_fract_z
K1 K 0.000 0.093 0.000
K2 K 0.000 0.128 0.670
Li1 Li 0.000 0.451 0.755
Pb1 Pb 0.000 0.199 0.373
Cl1 Cl 0.000 0.034 0.334
Cl2 Cl 0.000 0.281 0.017
Cl3 Cl 0.000 0.313 0.732
Cl4 Cl 0.000 0.353 0.342
Cl5 Cl 0.000 0.494 0.105

Entry 4:
# Mn2CdTeH (PBE, optimized geometry)
# DFT total energy   -4.7731 eV per atom
data_Mn2CdTeH
_symmetry_space_group_name_H-M 'P 4/m m m'
_symmetry_Int_Tables_number 123
_symmetry_space_group_name_Hall '-P 4 2'
_cell_length_a 4.199
_cell_length_b 4.199
_cell_length_c 4.507
_cell_angle_alpha 90.00
_cell_angle_beta 90.00
_cell_angle_gamma 90.00
loop_
_atom_site_label
_atom_site_type_symbol
_atom_site_fract_x
_atom_site_fract_y
_atom_site_fract_z
Mn1 Mn 0.000 0.500 0.000
Cd1 Cd 0.000 0.000 0.500
Te1 Te 0.500 0.500 0.500
H1 H 0.000 0.000 0.000

Entry 5:
# Pr8Bi3Te4S (PBE, optimized geometry)
# Formation energy (no corrections)   -1320 meV/atom
data_Pr8Bi3Te4S
_symmetry_space_group_name_H-M 'R -3 m'
_symmetry_Int_Tables_number 166
_symmetry_space_group_name_Hall '-R 3 2"'
_cell_length_a 9.0570
_cell_length_b 9.0570
_cell_length_c 22.2256
_cell_angle_alpha 90.00
_cell_angle_beta 90.00
_cell_angle_gamma 120.00
loop_
_atom_site_label
_atom_site_type_symbol
_atom_site_fract_x
_atom_site_fract_y
_atom_site_fract_z
Pr1 Pr 0.0000 0.0000 0.2499
Pr2 Pr 0.0218 0.5109 0.2447
Bi1 Bi 0.0000 0.5000 0.5000
Te1 Te 0.0000 0.0000 0.0000
Te2 Te 0.0000 0.5000 0.0000
S1 S 0.0000 0.0000 0.5000

Entry 6:
# NpSb3S6 (PBE, optimized geometry)
# Polymorph energy (0 for the lowest one)   0 meV/atom
# Formation energy (no corrections)   -527 meV/atom
data_NpSb3S6
_symmetry_space_group_name_H-M 'P 1 21/m 1'
_symmetry_Int_Tables_number 11
_cell_length_a 11.340
_cell_length_b 3.858
_cell_length_c 11.880
_cell_angle_alpha 90.00
_cell_angle_beta 100.64
_cell_angle_gamma 90.00
loop_
_symmetry_equiv_pos_as_xyz
'x,y,z'
'-x,-y,-z'
'-x,y+1/2,-z'
'x,-y+1/2,z'
loop_
_atom_site_label
_atom_site_type_symbol
_atom_site_fract_x
_atom_site_fract_y
_atom_site_fract_z
Np1 Np 0.179 0.250 0.026
Sb1 Sb 0.027 0.750 0.296
Sb2 Sb 0.342 0.250 0.415
Sb3 Sb 0.416 0.750 0.842
S1 S 0.042 0.750 0.891
S2 S 0.120 0.250 0.440
S3 S 0.211 0.750 0.210
S4 S 0.265 0.250 0.800
S5 S 0.375 0.750 0.040
S6 S 0.382 0.750 0.558

Entry 7:
# TiCd2Rh (PBE, optimized geometry)
# ΔE_f   -0.063 eV per atom
data_TiCd2Rh
_symmetry_space_group_name_H-M 'F m -3 m'
_symmetry_Int_Tables_number 225
_symmetry_space_group_name_Hall '-F 4 2 3'
_cell_length_a 6.533
_cell_length_b 6.533
_cell_length_c 6.533
_cell_angle_alpha 90.00
_cell_angle_beta 90.00
_cell_angle_gamma 90.00
loop_
_atom_site_label
_atom_site_type_symbol
_atom_site_fract_x
_atom_site_fract_y
_atom_site_fract_z
Ti1 Ti 0.000 0.000 0.000
Cd1 Cd 0.250 0.250 0.250
Rh1 Rh 0.000 0.000 0.500

Entry 8:
# Ho8MgAl2 (PBE, optimized geometry)
# ΔE_f   -0.144 eV per atom
data_Ho8MgAl2
_symmetry_space_group_name_H-M 'C 1 2/m 1'
_symmetry_Int_Tables_number 12
_cell_length_a 15.989
_cell_length_b 5.215
_cell_length_c 8.299
_cell_angle_alpha 90.00
_cell_angle_beta 118.89
_cell_angle_gamma 90.00
loop_
_symmetry_equiv_pos_as_xyz
'x,y,z'
'-x,-y,-z'
'-x,y,-z'
'x,-y,z'
'x+1/2,y+1/2,z'
'-x+1/2,-y+1/2,-z'
'-x+1/2,y+1/2,-z'
'x+1/2,-y+1/2,z'
loop_
_atom_site_label
_atom_site_type_symbol
_atom_site_fract_x
_atom_site_fract_y
_atom_site_fract_z
Ho1 Ho 0.064 0.000 0.223
Ho2 Ho 0.102 0.500 0.961
Ho3 Ho 0.145 0.000 0.702
Ho4 Ho 0.184 0.500 0.454
Mg1 Mg 0.000 0.500 0.500
Al1 Al 0.227 0.000 0.128